Ni2PbBr: relaxed, PBE.

The structure belongs to space group Cm (No. 8); the cell edges are 15.859, 3.374 and 3.311 Å and the angles 90.00°, 95.84° and 90.00°. The distinct sites, in fractional coordinates, are Ni at (0.000, 0.000, 0.000), Ni at (0.056, 0.500, 0.505), Pb at (0.169, 0.000, 0.128) and Br at (0.404, 0.000, 0.756).

The formation energy from raw total energies comes out at 0.17 eV per atom. The total energy comes out at -4.071 eV per atom. The density of states at the Fermi level comes out at 6.980 states/eV per cell.

***

NbAl2MoRu: relaxed, PBE.

The structure belongs to space group P4/mmm (No. 123); the cell edges are 4.487, 4.487 and 4.831 Å and the angles 90.00°, 90.00° and 90.00°. The distinct sites, in fractional coordinates, are Nb at (0.000, 0.000, 0.000), Al at (0.000, 0.500, 0.500), Mo at (0.500, 0.500, 0.000) and Ru at (0.000, 0.000, 0.500).

The total energy comes out at -6.710 eV per atom. The density of states at the Fermi level comes out at 5.309 states/eV per cell.

***

CaZnPd: relaxed, PBE.

The structure belongs to space group P-6m2 (No. 187); the cell edges are 4.3782, 4.3782 and 3.9370 Å and the angles 90.00°, 90.00° and 120.00°. The distinct sites, in fractional coordinates, are Ca at (0.0000, 0.0000, 0.0000), Zn at (0.6667, 0.3333, 0.5000) and Pd at (0.3333, 0.6667, 0.5000).

The total energy comes out at -3.397 eV per atom. The density of states at the Fermi level comes out at 1.048 states/eV per cell.

***

ZrPWS2: relaxed, PBE.

The structure belongs to space group P4/mmm (No. 123); the cell edges are 4.847, 4.847 and 5.134 Å and the angles 90.00°, 90.00° and 90.00°. The distinct sites, in fractional coordinates, are Zr at (0.000, 0.000, 0.000), P at (0.000, 0.000, 0.500), W at (0.500, 0.500, 0.500) and S at (0.000, 0.500, 0.000).

The formation energy from raw total energies comes out at 0.81 eV per atom. The total energy comes out at -6.225 eV per atom. The density of states at the Fermi level comes out at 4.167 states/eV per cell.

***

RbBaIBr: relaxed, PBE.

The structure belongs to space group F-43m (No. 216); the cell edges are 8.551, 8.551 and 8.551 Å and the angles 90.00°, 90.00° and 90.00°. The distinct sites, in fractional coordinates, are Rb at (0.000, 0.000, 0.000), Ba at (0.000, 0.000, 0.500), I at (0.250, 0.250, 0.250) and Br at (0.250, 0.250, 0.750).

The formation energy from raw total energies comes out at -1.30 eV per atom. The total energy comes out at -2.828 eV per atom. The density of states at the Fermi level comes out at 11.177 states/eV per cell.

***

YAs2CBr: relaxed, PBE.

The structure belongs to space group P4/mmm (No. 123); the cell edges are 5.612, 5.612 and 5.450 Å and the angles 90.00°, 90.00° and 90.00°. The distinct sites, in fractional coordinates, are Y at (0.000, 0.000, 0.000), As at (0.000, 0.500, 0.000), C at (0.500, 0.500, 0.500) and Br at (0.000, 0.000, 0.500).

The formation energy from raw total energies comes out at 1.37 eV per atom. The total energy comes out at -3.961 eV per atom. The density of states at the Fermi level comes out at 6.445 states/eV per cell.

***

Repeat the first record exactly.
Ni2PbBr: relaxed, PBE.

The structure belongs to space group Cm (No. 8); the cell edges are 15.859, 3.374 and 3.311 Å and the angles 90.00°, 95.84° and 90.00°. The distinct sites, in fractional coordinates, are Ni at (0.000, 0.000, 0.000), Ni at (0.056, 0.500, 0.505), Pb at (0.169, 0.000, 0.128) and Br at (0.404, 0.000, 0.756).

The formation energy from raw total energies comes out at 0.17 eV per atom. The total energy comes out at -4.071 eV per atom. The density of states at the Fermi level comes out at 6.980 states/eV per cell.